No. 1
Material: Li2InRhN
Method: DFT, PBE
State: relaxed

Cell: 5.0989 5.0989 3.9415 Å, 90.00 90.00 90.00°
With the nearest neighbours (Å) after each atom.
Fractional coordinates of all 5 atoms:
Li 0.0000 0.5000 0.0000  2 In 2.55
Li 0.5000 0.0000 0.0000  2 In 2.55
In 0.0000 0.0000 0.0000  2 N 1.97
Rh 0.5000 0.5000 0.5000  8 Li 3.22, 4 N 3.61
N 0.0000 0.0000 0.5000  2 In 1.97

## Properties
Symmetry: P4/mmm
Distance to the lowest polymorph of the same formula: 7.04 eV per formula unit


No. 2
Material: Li2InRhN
Method: DFT, PBE
State: relaxed

Cell: 4.2969 4.2969 3.8050 Å, 90.00 90.00 90.00°
With the nearest neighbours (Å) after each atom.
Fractional coordinates of all 5 atoms:
Li 0.0000 0.5000 0.0000  2 N 2.15
Li 0.5000 0.0000 0.0000  2 N 2.15
In 0.0000 0.0000 0.5000  8 Li 2.87, 4 Rh 3.04
Rh 0.5000 0.5000 0.5000  2 N 1.90
N 0.5000 0.5000 0.0000  2 Rh 1.90

## Properties
Symmetry: P4/mmm
Distance to the lowest polymorph of the same formula: 0.00 eV per formula unit


No. 3
Material: LiInRh2N
Method: DFT, PBE
State: relaxed

Cell: 4.1012 4.1012 4.0318 Å, 90.00 90.00 90.00°
With the nearest neighbours (Å) after each atom.
Fractional coordinates of all 5 atoms:
Li 0.0000 0.0000 0.0000  2 N 2.02
In 0.5000 0.5000 0.0000  8 Rh 2.88, 4 Li 2.90
Rh 0.0000 0.5000 0.5000  2 N 2.05
Rh 0.5000 0.0000 0.5000  2 N 2.05
N 0.0000 0.0000 0.5000  2 Li 2.02, 4 Rh 2.05

## Properties
Symmetry: P4/mmm


No. 4
Material: LiInRu2N
Method: DFT, PBE
State: relaxed

Cell: 4.0309 4.0309 4.1250 Å, 90.00 90.00 90.00°
With the nearest neighbours (Å) after each atom.
Fractional coordinates of all 5 atoms:
Li 0.0000 0.0000 0.0000  2 N 2.06
In 0.5000 0.5000 0.0000  4 Li 2.85, 8 Ru 2.88
Ru 0.0000 0.5000 0.5000  2 N 2.02
Ru 0.5000 0.0000 0.5000  2 N 2.02
N 0.0000 0.0000 0.5000  4 Ru 2.02, 2 Li 2.06

## Properties
Symmetry: P4/mmm


No. 5
Material: Li2InRuN
Method: DFT, PBE
State: relaxed

Cell: 4.1965 4.1965 3.8305 Å, 90.00 90.00 90.00°
With the nearest neighbours (Å) after each atom.
Fractional coordinates of all 5 atoms:
Li 0.0000 0.5000 0.0000  2 N 2.10
Li 0.5000 0.0000 0.0000  2 N 2.10
In 0.0000 0.0000 0.5000  8 Li 2.84, 4 Ru 2.97
Ru 0.5000 0.5000 0.5000  2 N 1.92
N 0.5000 0.5000 0.0000  2 Ru 1.92, 4 Li 2.10

## Properties
Symmetry: P4/mmm


No. 6
Material: LiSc2InN
Method: DFT, PBE
State: relaxed

Cell: 4.3998 4.3998 4.3965 Å, 90.00 90.00 90.00°
With the nearest neighbours (Å) after each atom.
Fractional coordinates of all 5 atoms:
Li 0.0000 0.0000 0.0000  2 N 2.20
Sc 0.0000 0.5000 0.5000  2 N 2.20
Sc 0.5000 0.0000 0.5000  2 N 2.20
In 0.5000 0.5000 0.0000  8 Sc 3.11, 4 Li 3.11
N 0.0000 0.0000 0.5000  2 Li 2.20, 4 Sc 2.20

## Properties
Symmetry: P4/mmm


Ordered energy relative to the elements, uncorrected results: 1.11; -0.29; -0.21; -0.14; -0.26; -0.86; unit eV per atom.
Ordered energy results: -16.7; -23.7; -28.7; -32.2; -25.5; -29.9; unit eV per cell.
Ordered N(E_F) results: 2.72; 2.05; 4.11; 1.36; 2.27; 3.79; unit states/eV/f.u..